# PmZrO | the Alexandria database | GGA-PBE | optimized geometry
# **E_form (uncorrected)**: -1652 meV per atom
# **Total DFT energy (no corrections)**: -23.21 eV per formula unit
# **Crystal system**: tetragonal
data_PmZrO
_cell_length_a 3.274
_cell_length_b 3.274
_cell_length_c 12.248
_cell_angle_alpha 90.00
_cell_angle_beta 90.00
_cell_angle_gamma 90.00
_symmetry_space_group_name_H-M 'P 4/n m m'
_symmetry_Int_Tables_number 129
loop_
_symmetry_equiv_pos_as_xyz
'x,y,z'
'-x,-y,-z'
'-y+1/2,x,z'
'y+1/2,-x,-z'
'-x+1/2,-y+1/2,z'
'x+1/2,y+1/2,-z'
'y,-x+1/2,z'
'-y,x+1/2,-z'
'x+1/2,-y,-z'
'-x+1/2,y,z'
'-y,-x,-z'
'y,x,z'
'-x,y+1/2,-z'
'x,-y+1/2,z'
'y+1/2,x+1/2,-z'
'-y+1/2,-x+1/2,z'
loop_
_atom_site_label
_atom_site_fract_x
_atom_site_fract_y
_atom_site_fract_z
Pm1 0.250 0.250 0.125
Zr1 0.250 0.250 0.416
O1 0.250 0.250 0.923